Record 1
The following is a PBE-GGA calculation of an optimized crystal structure of BaBePb2, from Alexandria via LeMat-Bulk.

```
BaBePb2
1.0
-0.183 2.870 4.792
-4.266 3.464 1.021
-3.789 -1.306 3.896
Be Ba Pb
1 1 2
direct
0.750 0.750 0.750
0.500 0.500 0.500
0.000 0.000 0.000
0.250 0.250 0.250
```

Values from the calculation:
As for the magnetic moment: 0.0 μB per cell. The formation energy comes out at 0.23 eV/atom. The space group is F-43m, No. 216.

Record 2
The following is a PBE-GGA calculation of an optimized crystal structure of TlCdTe2Au, from Alexandria via LeMat-Bulk.

```
TlCdTe2Au
1.0
-1.935 -4.722 -3.766
4.522 -4.347 3.127
-6.684 -0.743 4.366
Te Au Tl Cd
4 2 2 2
direct
0.693 0.744 0.948
0.307 0.744 0.448
0.307 0.256 0.052
0.693 0.256 0.552
0.000 0.000 0.000
0.000 0.000 0.500
0.865 0.500 0.250
0.135 0.500 0.750
0.501 0.000 0.250
0.499 0.000 0.750
```

Values from the calculation:
As for the magnetic moment: 0.0 μB per cell. The calculation puts the raw formation energy at -0.2658 eV per atom. The space group is P2/c, No. 13.

Record 3
The following is a PBE-GGA calculation of an optimized crystal structure of LiAgCl2, from Alexandria via LeMat-Bulk.

```
LiAgCl2
1.0
-0.883 0.223 3.219
-0.264 -3.332 0.159
6.519 -0.431 1.818
Cl Li Ag
2 1 1
direct
0.000 0.000 0.487
0.000 0.000 0.013
0.500 0.500 0.250
0.500 0.500 0.750
```

Values from the calculation:
As for the magnetic moment: 0.0 μB per cell. The calculation puts the raw formation energy at -0.8971 eV per atom. The space group is P4/mmm, No. 123.

Record 4
The following is a PBE-GGA calculation of an optimized crystal structure of Ac2HoC2I2, from Alexandria via LeMat-Bulk.

```
Ac2HoC2I2
1.0
-2.124 2.886 2.968
-3.359 -3.151 0.661
7.623 -3.581 5.290
Ho I C Ac
1 2 2 2
direct
0.000 0.000 0.000
0.175 0.175 0.351
0.825 0.825 0.649
0.500 0.000 0.000
0.000 0.500 0.000
0.589 0.589 0.179
0.411 0.411 0.821
```

Values from the calculation:
As for the magnetic moment: 0.0 μB per cell. The calculation puts the raw formation energy at -0.5759 eV per atom. The space group is I4/mmm, No. 139.

Calculated volume values, unit Å³ per atom, following the record order: 30.862 34.624 18.979 29.024.